CsAgBr3: relaxed, PBE.

Results
- Volume: 44.58 A^3/atom
- Magnetic moment: 0.00 μB/atom
- DFT total energy: -2.54 eV/atom
- DOS(E_F): 0.569 states/eV/f.u.
- Space group: Cmcm, No. 63

a b c (Å): 9.6693 9.6693 8.1779
angles (deg): 90.00 90.00 144.34
Sites, in units of the cell vectors:
Cs: 0.3914 0.6086 0.2500
Cs: 0.6086 0.3914 0.7500
Br: 0.4720 0.0487 0.2500
Br: 0.9513 0.5280 0.2500
Br: 0.0487 0.4720 0.7500
Br: 0.5280 0.9513 0.7500
Br: 0.0000 0.0000 0.0000
Br: 0.0000 0.0000 0.5000
Ag: 0.0942 0.9058 0.2500
Ag: 0.9058 0.0942 0.7500